1.
## VAgP2Se6 (PBE)

Data for an optimized crystal structure of VAgP2Se6.

a = 6.429 Å, b = 6.429 Å, c = 7.531 Å
α = 97.61°, β = 97.61°, γ = 120.35°
Positions (direct):
V1 0.000 0.000 0.000
Ag1 0.345 0.655 0.000
P1 0.627 0.282 0.847
P2 0.718 0.373 0.153
Se1 0.057 0.357 0.239
Se2 0.244 0.210 0.764
Se3 0.388 0.084 0.232
Se4 0.643 0.943 0.761
Se5 0.790 0.756 0.236
Se6 0.916 0.612 0.768

Computed properties:
For the raw formation energy, the calculation gives -259 meV per atom. For the density, the calculation gives 4455 kg/m³.


2.
## Si2AgP (PBE)

Data for an optimized crystal structure of Si2AgP.

a = 6.944 Å, b = 6.944 Å, c = 6.944 Å
α = 28.16°, β = 28.16°, γ = 28.16°
Positions (direct):
Si1 0.239 0.239 0.239
Si2 0.761 0.761 0.761
Ag1 0.000 0.000 0.000
P1 0.500 0.500 0.500

Computed properties:
For the raw formation energy, the calculation gives 242 meV per atom. For the density, the calculation gives 4913 kg/m³.


3.
## Si2AgP (PBE)

Data for an optimized crystal structure of Si2AgP.

a = 2.906 Å, b = 3.084 Å, c = 7.129 Å
α = 90.00°, β = 90.00°, γ = 90.00°
Positions (direct):
Si1 0.000 0.000 0.000
Si2 0.500 0.500 0.246
Ag1 0.000 0.000 0.516
P1 0.500 0.500 0.813

Computed properties:
For the raw formation energy, the calculation gives 463 meV per atom. For the density, the calculation gives 5069 kg/m³.